1.
An optimized crystal structure of KTaW2, computed with GGA-PBE.

It has space group Pmmm (No. 47), with a = 2.695 Å, b = 4.628 Å, c = 7.721 Å, α = 90.00°, β = 90.00° and γ = 90.00°. The asymmetric unit holds K at (0.000, 0.000, 0.000), Ta at (0.000, 0.000, 0.500) and W at (0.500, 0.500, 0.341).

The energy relative to the lowest polymorph listed for this composition is 0.2672 eV/atom. The density of states at the Fermi level comes out at 3.4 states/eV/cell. The value obtained for the energy relative to the elements is 22.852 kcal/mol of atoms. The uncorrected energy is -34.89 eV/cell. The total moment comes out at 0.00 Bohr magnetons per cell.

=====

2.
An optimized crystal structure of ZrBiPO2, computed with GGA-PBE.

It has space group P4/mmm (No. 123), with a = 4.190 Å, b = 4.190 Å, c = 5.461 Å, α = 90.00°, β = 90.00° and γ = 90.00°. The asymmetric unit holds Zr at (0.000, 0.000, 0.000), Bi at (0.500, 0.500, 0.500), P at (0.500, 0.500, 0.000) and O at (0.000, 0.500, 0.500).

The energy relative to the lowest polymorph listed for this composition is 1.1909 eV/atom. The density of states at the Fermi level comes out at 3.8 states/eV/cell. The uncorrected energy is -28.98 eV/cell. For the uncorrected formation energy, the calculation gives -0.245 eV per atom. The total moment comes out at 0.55 Bohr magnetons per cell.

=====

3.
An optimized crystal structure of TmPa2AlC4, computed with GGA-PBE.

It has space group Cmcm (No. 63), with a = 3.600 Å, b = 11.591 Å, c = 11.873 Å, α = 90.00°, β = 90.00° and γ = 90.00°. The asymmetric unit holds Tm at (0.000, 0.111, 0.250), Pa at (0.000, 0.371, 0.052), Al at (0.000, 0.152, 0.750), C at (0.000, 0.000, 0.000), C at (0.000, 0.258, 0.618) and C at (0.000, 0.444, 0.250).

The density of states at the Fermi level comes out at 8.8 states/eV/cell. The value obtained for the energy relative to the elements is -5.073 kcal/mol of atoms. The uncorrected energy is -263.44 eV/cell. The total moment comes out at 0.00 Bohr magnetons per cell.

=====

4.
An optimized crystal structure of Cd2Pd8Rh, computed with GGA-PBE.

It has space group Cm (No. 8), with a = 8.228 Å, b = 12.027 Å, c = 4.340 Å, α = 90.00°, β = 121.76° and γ = 90.00°. The asymmetric unit holds Cd at (0.000, 0.147, 0.000), Pd at (0.075, 0.353, 0.575), Pd at (0.283, 0.302, 0.283), Pd at (0.295, 0.000, 0.295), Pd at (0.297, 0.150, 0.797), Pd at (0.491, 0.500, 0.491) and Rh at (0.087, 0.500, 0.087).

The density of states at the Fermi level comes out at 29.7 states/eV/cell. The value obtained for the energy relative to the elements is -0.795 kcal/mol of atoms. The uncorrected energy is -102.21 eV/cell. The total moment comes out at 2.86 Bohr magnetons per cell.